BaSrHg3 | GGA-PBE | relaxed

Geometry as CIF:
```
data_BaSrHg3
_space_group_name_H-M_alt 'C m c m'
_space_group_IT_number 63
_space_group_name_Hall '-C 2c 2'
_cell_length_a 4.351
_cell_length_b 30.954
_cell_length_c 5.057
_cell_angle_alpha 90.00
_cell_angle_beta 90.00
_cell_angle_gamma 90.00
loop_
_atom_site_label
_atom_site_fract_x
_atom_site_fract_y
_atom_site_fract_z
Ba1 0.000 0.073 0.250
Sr1 0.000 0.206 0.750
Hg1 0.000 0.319 0.750
Hg2 0.000 0.377 0.250
Hg3 0.000 0.475 0.250
```

ΔH_f (0 K), eV/atom: -0.508


Ba2SrHg | GGA-PBE | relaxed

Geometry as CIF:
```
data_Ba2SrHg
_space_group_name_H-M_alt 'P 1 m 1'
_space_group_IT_number 6
_cell_length_a 5.027
_cell_length_b 4.666
_cell_length_c 9.031
_cell_angle_alpha 90.00
_cell_angle_beta 106.14
_cell_angle_gamma 90.00
loop_
_space_group_symop_operation_xyz
'x,y,z'
'x,-y,z'
loop_
_atom_site_label
_atom_site_fract_x
_atom_site_fract_y
_atom_site_fract_z
Ba1 0.000 0.000 0.000
Ba2 0.347 0.500 0.692
Sr1 0.649 0.500 0.299
Hg1 0.793 0.000 0.583
```

ΔH_f (0 K), eV/atom: -0.210


Ba2SrHg | GGA-PBE | relaxed

Geometry as CIF:
```
data_Ba2SrHg
_space_group_name_H-M_alt 'P 4 m m'
_space_group_IT_number 99
_cell_length_a 4.190
_cell_length_b 4.190
_cell_length_c 10.904
_cell_angle_alpha 90.00
_cell_angle_beta 90.00
_cell_angle_gamma 90.00
loop_
_space_group_symop_operation_xyz
'x,y,z'
'-y,x,z'
'-x,-y,z'
'y,-x,z'
'-x,y,z'
'y,x,z'
'x,-y,z'
'-y,-x,z'
loop_
_atom_site_label
_atom_site_fract_x
_atom_site_fract_y
_atom_site_fract_z
Ba1 0.000 0.000 0.000
Ba2 0.500 0.500 0.332
Sr1 0.500 0.500 0.690
Hg1 0.000 0.000 0.524
```

ΔH_f (0 K), eV/atom: -0.262


Ba2SrHg | GGA-PBE | relaxed

Geometry as CIF:
```
data_Ba2SrHg
_space_group_name_H-M_alt 'I m m m'
_space_group_IT_number 71
_space_group_name_Hall '-I 2 2'
_cell_length_a 4.334
_cell_length_b 6.402
_cell_length_c 13.553
_cell_angle_alpha 90.00
_cell_angle_beta 90.00
_cell_angle_gamma 90.00
loop_
_atom_site_label
_atom_site_fract_x
_atom_site_fract_y
_atom_site_fract_z
Ba1 0.000 0.000 0.199
Sr1 0.000 0.500 0.000
Hg1 0.000 0.500 0.500
```

ΔH_f (0 K), eV/atom: -0.197


Ba4SrHg | GGA-PBE | relaxed

Geometry as CIF:
```
data_Ba4SrHg
_space_group_name_H-M_alt 'F -4 3 m'
_space_group_IT_number 216
_space_group_name_Hall 'F -4 2 3'
_cell_length_a 11.184
_cell_length_b 11.184
_cell_length_c 11.184
_cell_angle_alpha 90.00
_cell_angle_beta 90.00
_cell_angle_gamma 90.00
loop_
_atom_site_label
_atom_site_fract_x
_atom_site_fract_y
_atom_site_fract_z
Ba1 0.125 0.125 0.125
Sr1 0.000 0.000 0.500
Hg1 0.250 0.250 0.750
```

ΔH_f (0 K), eV/atom: 0.245


BaSr3Hg7 | GGA-PBE | relaxed

Geometry as CIF:
```
data_BaSr3Hg7
_space_group_name_H-M_alt 'C m c m'
_space_group_IT_number 63
_space_group_name_Hall '-C 2c 2'
_cell_length_a 4.620
_cell_length_b 25.336
_cell_length_c 12.730
_cell_angle_alpha 90.00
_cell_angle_beta 90.00
_cell_angle_gamma 90.00
loop_
_atom_site_label
_atom_site_fract_x
_atom_site_fract_y
_atom_site_fract_z
Ba1 0.000 0.017 0.250
Sr1 0.000 0.143 0.557
Sr2 0.000 0.223 0.250
Hg1 0.000 0.275 0.553
Hg2 0.000 0.363 0.250
Hg3 0.000 0.387 0.636
Hg4 0.000 0.455 0.069
```

ΔH_f (0 K), eV/atom: -0.429


BaSr2Hg | GGA-PBE | relaxed

Geometry as CIF:
```
data_BaSr2Hg
_space_group_name_H-M_alt 'I -4 2 d'
_space_group_IT_number 122
_space_group_name_Hall 'I -4 2bw'
_cell_length_a 10.312
_cell_length_b 10.312
_cell_length_c 7.413
_cell_angle_alpha 90.00
_cell_angle_beta 90.00
_cell_angle_gamma 90.00
loop_
_atom_site_label
_atom_site_fract_x
_atom_site_fract_y
_atom_site_fract_z
Ba1 0.000 0.000 0.000
Sr1 0.167 0.250 0.625
Hg1 0.000 0.000 0.500
```

ΔH_f (0 K), eV/atom: -0.145


Ba3SrHg | GGA-PBE | relaxed

Geometry as CIF:
```
data_Ba3SrHg
_space_group_name_H-M_alt 'P m -3 m'
_space_group_IT_number 221
_space_group_name_Hall '-P 4 2 3'
_cell_length_a 6.699
_cell_length_b 6.699
_cell_length_c 6.699
_cell_angle_alpha 90.00
_cell_angle_beta 90.00
_cell_angle_gamma 90.00
loop_
_atom_site_label
_atom_site_fract_x
_atom_site_fract_y
_atom_site_fract_z
Ba1 0.000 0.000 0.500
Sr1 0.500 0.500 0.500
Hg1 0.000 0.000 0.000
```

ΔH_f (0 K), eV/atom: -0.122


Ba2SrHg | GGA-PBE | relaxed

Geometry as CIF:
```
data_Ba2SrHg
_space_group_name_H-M_alt 'P m m m'
_space_group_IT_number 47
_cell_length_a 4.252
_cell_length_b 4.267
_cell_length_c 10.670
_cell_angle_alpha 90.00
_cell_angle_beta 90.00
_cell_angle_gamma 90.00
loop_
_space_group_symop_operation_xyz
'x,y,z'
'-x,-y,-z'
'-x,-y,z'
'x,y,-z'
'x,-y,-z'
'-x,y,z'
'-x,y,-z'
'x,-y,z'
loop_
_atom_site_label
_atom_site_fract_x
_atom_site_fract_y
_atom_site_fract_z
Ba1 0.000 0.000 0.188
Sr1 0.500 0.500 0.500
Hg1 0.500 0.500 0.000
```

ΔH_f (0 K), eV/atom: -0.275


BaSrHg3 | GGA-PBE | relaxed

Geometry as CIF:
```
data_BaSrHg3
_space_group_name_H-M_alt 'P m -3 m'
_space_group_IT_number 221
_space_group_name_Hall '-P 4 2 3'
_cell_length_a 6.197
_cell_length_b 6.197
_cell_length_c 6.197
_cell_angle_alpha 90.00
_cell_angle_beta 90.00
_cell_angle_gamma 90.00
loop_
_atom_site_label
_atom_site_fract_x
_atom_site_fract_y
_atom_site_fract_z
Ba1 0.000 0.000 0.000
Sr1 0.500 0.500 0.500
Hg1 0.000 0.000 0.500
```

ΔH_f (0 K), eV/atom: 0.048


Ba2SrHg | GGA-PBE | relaxed

Geometry as CIF:
```
data_Ba2SrHg
_space_group_name_H-M_alt 'P 1 21/m 1'
_space_group_IT_number 11
_cell_length_a 4.510
_cell_length_b 11.493
_cell_length_c 7.877
_cell_angle_alpha 90.00
_cell_angle_beta 106.60
_cell_angle_gamma 90.00
loop_
_space_group_symop_operation_xyz
'x,y,z'
'-x,-y,-z'
'-x,y+1/2,-z'
'x,-y+1/2,z'
loop_
_atom_site_label
_atom_site_fract_x
_atom_site_fract_y
_atom_site_fract_z
Ba1 0.140 0.068 0.277
Sr1 0.421 0.250 0.841
Hg1 0.245 0.750 0.493
```

ΔH_f (0 K), eV/atom: -0.258


BaSr2Hg3 | GGA-PBE | relaxed

Geometry as CIF:
```
data_BaSr2Hg3
_space_group_name_H-M_alt 'C m m m'
_space_group_IT_number 65
_space_group_name_Hall '-C 2 2'
_cell_length_a 5.799
_cell_length_b 17.296
_cell_length_c 4.055
_cell_angle_alpha 90.00
_cell_angle_beta 90.00
_cell_angle_gamma 90.00
loop_
_atom_site_label
_atom_site_fract_x
_atom_site_fract_y
_atom_site_fract_z
Ba1 0.000 0.000 0.000
Sr1 0.000 0.333 0.000
Hg1 0.000 0.171 0.500
Hg2 0.000 0.500 0.500
```

ΔH_f (0 K), eV/atom: -0.523


Number 1: Fermi-level density of states 13.0 states/eV per cell, VASP energy -28.20 eV/cell. Number 2: Fermi-level density of states 3.9 states/eV per cell, VASP energy -6.67 eV/cell. Number 3: Fermi-level density of states 5.4 states/eV per cell, VASP energy -6.88 eV/cell. Number 4: Fermi-level density of states 10.9 states/eV per cell, VASP energy -13.23 eV/cell. Number 5: Fermi-level density of states 53.2 states/eV per cell, VASP energy -32.82 eV/cell. Number 6: Fermi-level density of states 33.0 states/eV per cell, VASP energy -55.19 eV/cell. Number 7: Fermi-level density of states 22.2 states/eV per cell, VASP energy -24.68 eV/cell. Number 8: Fermi-level density of states 13.2 states/eV per cell, VASP energy -8.36 eV/cell. Number 9: Fermi-level density of states 4.6 states/eV per cell, VASP energy -6.93 eV/cell. Number 10: Fermi-level density of states 4.5 states/eV per cell, VASP energy -4.27 eV/cell. Number 11: Fermi-level density of states 13.3 states/eV per cell, VASP energy -13.72 eV/cell. Number 12: Fermi-level density of states 8.7 states/eV per cell, VASP energy -18.66 eV/cell.